SbHRh3 | SCAN | PBEsol geometry

extended XYZ file:
```
10
Lattice="5.579 0.000 0.000 -2.790 4.839 0.004 0.000 3.213 4.562" Properties=species:S:1:pos:R:3 pbc="T T T"
Sb 2.790 4.829 3.423
Sb 0.000 3.223 1.142
Rh 2.790 3.223 1.142
Rh 4.272 0.853 1.212
Rh 1.308 2.359 3.350
Rh 1.482 0.753 1.069
Rh 4.098 2.460 3.493
Rh 0.000 4.829 3.423
H 0.000 0.000 0.000
H 2.790 1.606 2.281
```

Output
DOS at the Fermi energy   2.5 states/eV/f.u.
Total moment   0.0 μB per formula unit
E_tot   -28.6832 eV/atom
Mass density   11.64 Mg/m³

Sc2SbHRh | SCAN | PBEsol geometry

extended XYZ file:
```
5
Lattice="3.510 0.000 0.000 0.000 5.348 0.000 0.000 0.000 5.348" Properties=species:S:1:pos:R:3 pbc="T T T"
Sc 0.000 0.000 2.674
Sc 0.000 2.674 0.000
Rh 1.755 2.674 2.674
H 1.755 0.000 0.000
Sb 0.000 0.000 0.000
```

Output
DOS at the Fermi energy   3.7 states/eV/f.u.
Total moment   0.0 μB per formula unit
E_tot   -20.2784 eV/atom
Mass density   5.22 Mg/m³

Sc2H2Rh | SCAN | PBEsol geometry

extended XYZ file:
```
5
Lattice="3.176 0.000 0.000 0.000 3.176 0.000 -1.588 -1.588 5.817" Properties=species:S:1:pos:R:3 pbc="T T T"
H 0.000 1.588 2.909
H 1.588 0.000 2.909
Rh 0.000 0.000 0.000
Sc 1.588 1.588 1.638
Sc 0.000 0.000 4.179
```

Output
DOS at the Fermi energy   1.2 states/eV/f.u.
Total moment   0.0 μB per formula unit
E_tot   -14.7146 eV/atom
Mass density   5.51 Mg/m³

ScH3Rh | SCAN | PBEsol geometry

extended XYZ file:
```
5
Lattice="-2.843 -1.520 1.349 1.846 -2.902 0.621 0.850 1.218 3.164" Properties=species:S:1:pos:R:3 pbc="T T T"
Rh 0.000 0.000 0.000
H 0.425 0.609 1.582
H -1.422 -0.760 0.675
H 0.923 -1.451 0.311
Sc -0.074 -1.602 2.567
```

Output
DOS at the Fermi energy   2.9 states/eV/f.u.
Total moment   0.0 μB per formula unit
E_tot   -12.2307 eV/atom
Mass density   5.87 Mg/m³

Sc3HRh | SCAN | PBEsol geometry

extended XYZ file:
```
5
Lattice="4.263 0.000 0.000 0.000 4.263 0.000 0.000 0.000 4.263" Properties=species:S:1:pos:R:3 pbc="T T T"
H 0.000 0.000 0.000
Rh 2.131 2.131 2.131
Sc 2.131 0.000 0.000
Sc 0.000 2.131 0.000
Sc 0.000 0.000 2.131
```

Output
DOS at the Fermi energy   6.9 states/eV/f.u.
Total moment   0.0 μB per formula unit
E_tot   -16.4326 eV/atom
Mass density   5.12 Mg/m³

ScH3Rh | SCAN | PBEsol geometry

extended XYZ file:
```
5
Lattice="-3.030 -1.496 -1.121 0.935 -3.061 1.559 -1.619 1.033 2.998" Properties=species:S:1:pos:R:3 pbc="T T T"
H -0.810 0.516 1.499
H 0.467 -1.531 0.780
H -1.515 -0.748 -0.561
Rh -1.857 -1.762 1.718
Sc 0.000 0.000 0.000
```

Output
DOS at the Fermi energy   1.0 states/eV/f.u.
Total moment   1.1 μB per formula unit
E_tot   -11.5194 eV/atom
Mass density   5.55 Mg/m³

HRhSe2 | SCAN | PBEsol geometry

extended XYZ file:
```
8
Lattice="3.666 0.006 0.036 0.696 5.797 0.003 1.199 2.637 7.682" Properties=species:S:1:pos:R:3 pbc="T T T"
Rh 3.107 1.272 0.069
Rh 2.454 7.167 7.652
H 1.180 4.364 4.110
H 4.381 4.075 3.611
Se 4.334 7.924 6.243
Se 2.481 5.003 6.419
Se 1.227 0.515 1.478
Se 3.080 3.436 1.302
```

Output
Total moment   0.0 μB per formula unit
E_tot   -19.6596 eV/atom
Mass density   5.34 Mg/m³

HRhSe2 | SCAN | PBEsol geometry

extended XYZ file:
```
4
Lattice="-3.368 -0.804 1.456 -1.559 -3.361 -0.617 0.957 -3.486 5.137" Properties=species:S:1:pos:R:3 pbc="T T T"
H 0.000 0.000 0.000
Se 0.180 -2.860 3.686
Se -4.151 -4.792 2.289
Rh -1.985 -3.826 2.988
```

Output
Total moment   0.0 μB per formula unit
E_tot   -19.6289 eV/atom
Mass density   6.04 Mg/m³

H2Rh2Se | SCAN | PBEsol geometry

extended XYZ file:
```
5
Lattice="-2.745 -0.942 1.089 -0.334 -1.863 -2.454 3.879 -2.425 3.270" Properties=species:S:1:pos:R:3 pbc="T T T"
Rh -0.847 -2.536 0.083
Rh 1.647 -2.694 1.821
H -0.202 -2.385 1.838
H 1.003 -2.846 0.067
Se 0.000 0.000 0.000
```

Output
DOS at the Fermi energy   2.0 states/eV/f.u.
Total moment   0.0 μB per formula unit
E_tot   -18.8772 eV/atom
Mass density   9.57 Mg/m³

SiH2Rh | SCAN | PBEsol geometry

extended XYZ file:
```
8
Lattice="-1.581 2.873 1.054 -2.504 -0.533 -2.304 -1.149 -4.479 4.858" Properties=species:S:1:pos:R:3 pbc="T T T"
Rh -2.848 -1.921 0.964
Rh 0.000 0.000 0.000
H -2.936 -0.754 -0.497
H -1.158 -3.021 3.685
H -3.629 -1.942 2.665
H -2.745 1.441 1.363
Si -2.042 1.170 -0.625
Si -2.386 -0.218 2.643
```

Output
DOS at the Fermi energy   1.1 states/eV/f.u.
Total moment   0.0 μB per formula unit
E_tot   -12.3855 eV/atom
Mass density   5.96 Mg/m³

SiHRh3 | SCAN | PBEsol geometry

extended XYZ file:
```
5
Lattice="-3.144 -2.052 0.588 -0.470 -0.355 -3.754 2.082 -3.179 0.040" Properties=species:S:1:pos:R:3 pbc="T T T"
Rh -0.235 -0.177 -1.877
Rh -1.572 -1.026 0.294
Rh 1.041 -1.589 0.020
H 0.000 0.000 0.000
Si -0.766 -2.793 -1.563
```

Output
DOS at the Fermi energy   2.0 states/eV/f.u.
Total moment   0.0 μB per formula unit
E_tot   -23.3251 eV/atom
Mass density   10.22 Mg/m³

SnHRh3 | SCAN | PBEsol geometry

extended XYZ file:
```
5
Lattice="-1.003 -0.213 -3.808 -0.795 -3.839 0.424 -3.730 0.875 0.933" Properties=species:S:1:pos:R:3 pbc="T T T"
Rh -0.899 -2.026 -1.692
Rh -2.366 0.331 -1.437
Rh -2.262 -1.482 0.678
Sn 0.000 0.000 0.000
H -2.764 -1.588 -1.225
```

Output
DOS at the Fermi energy   2.4 states/eV/f.u.
Total moment   0.0 μB per formula unit
E_tot   -28.4206 eV/atom
Mass density   11.60 Mg/m³